one) First-principles (GGA-PBEsol) data for an optimized crystal structure of BiPdF2, as listed in Alexandria via LeMat-Bulk.

Properties
Size of the total moment: 3.1 μB/cell
N(E_F): 0.82 states/eV/atom

a = 3.3963 Å, b = 3.3963 Å, c = 21.6268 Å
α = 90.00°, β = 90.00°, γ = 120.00°
Closest atoms and distances in Å follow each position.
Space group R-3m (No. 166, hexagonal axes)
Symmetry-distinct sites (fractional):
Bi  0.0000  0.0000  0.0000  2 F 2.34
Pd  0.0000  0.0000  0.5000  6 F 2.33
F  0.0000  0.0000  0.1083  3 Pd 2.33, 1 Bi 2.34

two) First-principles (GGA-PBEsol) data for an optimized crystal structure of BiPdF2, as listed in Alexandria via LeMat-Bulk.

Properties
Size of the total moment: 0.0 μB/cell
N(E_F): 0.79 states/eV/atom

a = 6.1346 Å, b = 6.1346 Å, c = 6.1346 Å
α = 90.00°, β = 90.00°, γ = 90.00°
Closest atoms and distances in Å follow each position.
Space group Fm-3m (No. 225)
Symmetry-distinct sites (fractional):
Bi  0.0000  0.0000  0.0000  8 F 2.66
Pd  0.0000  0.0000  0.5000  8 F 2.66
F  0.2500  0.2500  0.2500  4 Bi 2.66, 4 Pd 2.66

Name the most stable of them. two).

one) First-principles (GGA-PBEsol) data for an optimized crystal structure of GaBiI3, as listed in Alexandria via LeMat-Bulk.

Properties
Size of the total moment: 0.0 μB/cell
N(E_F): 0.68 states/eV/atom

a = 5.5033 Å, b = 5.5033 Å, c = 5.5033 Å
α = 90.00°, β = 90.00°, γ = 90.00°
Closest atoms and distances in Å follow each position.
Space group Pm-3m (No. 221)
Symmetry-distinct sites (fractional):
Ga  0.0000  0.0000  0.0000  6 I 2.75
Bi  0.5000  0.5000  0.5000  12 I 3.89
I  0.0000  0.0000  0.5000  2 Ga 2.75

two) First-principles (GGA-PBEsol) data for an optimized crystal structure of GaBiI3, as listed in Alexandria via LeMat-Bulk.

Properties
Size of the total moment: 0.0 μB/cell
N(E_F): 0.52 states/eV/atom

a = 6.1324 Å, b = 6.1324 Å, c = 6.1324 Å
α = 90.00°, β = 90.00°, γ = 90.00°
Closest atoms and distances in Å follow each position.
Space group Pm-3m (No. 221)
Symmetry-distinct sites (fractional):
Ga  0.0000  0.0000  0.0000  12 I 4.34
Bi  0.5000  0.5000  0.5000  6 I 3.07
I  0.0000  0.5000  0.5000  2 Bi 3.07

Name the most stable of them. two).